(1)
{"formula": "NaCa2HgO", "functional": "GGA-PBE", "state": "optimized geometry", "formation_energy_uncorrected_ev_per_atom": -1.232, "lattice": [[-2.6243, -0.7839, 3.8732], [-3.2232, -2.2654, -2.6424], [2.4035, -4.3034, 0.7576]], "species": ["Ca", "Ca", "O", "Hg", "Na"], "fractional_positions": [[0.0000, 0.5000, 0.0000], [0.5000, 0.0000, 0.0000], [0.0000, 0.0000, 0.0000], [0.5000, 0.5000, 0.5000], [0.0000, 0.0000, 0.5000]]}


(2)
{"formula": "KMnNi", "functional": "GGA-PBE", "state": "optimized geometry", "ef_mev_per_atom": 823, "de_polymorph_mev_per_atom": 461, "lattice": [[-2.7721, -8.0153, -1.5656], [1.5924, -0.0768, -2.4263], [8.2193, -3.9206, 5.5183]], "species": ["Mn", "Mn", "Mn", "Mn", "K", "K", "K", "K", "Ni", "Ni", "Ni", "Ni"], "fractional_positions": [[0.9253, 0.2500, 0.4656], [0.5747, 0.7500, 0.9656], [0.4253, 0.2500, 0.0344], [0.0747, 0.7500, 0.5344], [0.9283, 0.2500, 0.8243], [0.4283, 0.2500, 0.6757], [0.5717, 0.7500, 0.3243], [0.0717, 0.7500, 0.1757], [0.7727, 0.7500, 0.5795], [0.2273, 0.2500, 0.4205], [0.7273, 0.2500, 0.0795], [0.2727, 0.7500, 0.9205]]}


(3)
{"formula": "Tb3ErSc2Se6", "functional": "GGA-PBE", "state": "optimized geometry", "formation_energy_uncorrected_ev_per_atom": -1.695, "lattice": [[-4.9588, 4.7651, 0.9471], [1.9128, -4.1460, 5.2292], [5.5895, 4.1870, -0.2563]], "species": ["Sc", "Sc", "Se", "Se", "Se", "Se", "Se", "Se", "Er", "Tb", "Tb", "Tb"], "fractional_positions": [[0.6667, 0.3333, 0.0000], [0.3333, 0.6667, 0.0000], [0.4198, 0.0793, 0.2380], [0.7372, 0.7372, 0.2341], [0.2628, 0.2628, 0.7659], [0.0793, 0.4198, 0.2380], [0.5802, 0.9207, 0.7620], [0.9207, 0.5802, 0.7620], [0.0000, 0.0000, 0.0000], [0.5000, 0.5000, 0.5000], [0.1628, 0.8372, 0.5000], [0.8372, 0.1628, 0.5000]]}


(4)
{"formula": "PPtBr3", "functional": "GGA-PBE", "state": "optimized geometry", "de_polymorph_mev_per_atom": 199, "formation_energy_uncorrected_ev_per_atom": 0.804, "lattice": [[5.0483, 0.0000, 0.0000], [0.0000, 5.0483, 0.0000], [0.0000, 0.0000, 5.0483]], "species": ["P", "Pt", "Br", "Br", "Br"], "fractional_positions": [[0.0000, 0.0000, 0.0000], [0.5000, 0.5000, 0.5000], [0.5000, 0.0000, 0.0000], [0.0000, 0.5000, 0.0000], [0.0000, 0.0000, 0.5000]]}